(1)
Below is an optimized crystal structure of Li3Ca, with properties calculated at the GGA-PBEsol level.

Lattice parameters (Å, degrees): 6.047 6.047 6.047 142.86 128.60 65.10
Positions (direct):
Li (0.000, 0.000, 0.000)
Li (0.228, 0.728, 0.500)
Li (0.772, 0.272, 0.500)
Ca (0.500, 0.500, 0.000)

Values from the calculation:
Its space group is Immm, No. 71. The energy of formation is 0.16 eV per formula unit.

(2)
Below is an optimized crystal structure of Li12Ca17, with properties calculated at the GGA-PBEsol level.

Lattice parameters (Å, degrees): 10.775 10.775 10.775 109.47 109.47 109.47
Positions (direct):
Li (0.000, 0.643, 0.819)
Li (0.000, 0.819, 0.643)
Li (0.177, 0.357, 0.357)
Li (0.181, 0.181, 0.823)
Li (0.181, 0.823, 0.181)
Li (0.357, 0.177, 0.357)
Li (0.357, 0.357, 0.177)
Li (0.643, 0.000, 0.819)
Li (0.643, 0.819, 0.000)
Li (0.819, 0.000, 0.643)
Li (0.819, 0.643, 0.000)
Li (0.823, 0.181, 0.181)
Ca (0.000, 0.000, 0.000)
Ca (0.000, 0.000, 0.352)
Ca (0.000, 0.320, 0.610)
Ca (0.000, 0.352, 0.000)
Ca (0.000, 0.610, 0.320)
Ca (0.289, 0.680, 0.680)
Ca (0.320, 0.000, 0.610)
Ca (0.320, 0.610, 0.000)
Ca (0.352, 0.000, 0.000)
Ca (0.390, 0.390, 0.711)
Ca (0.390, 0.711, 0.390)
Ca (0.610, 0.000, 0.320)
Ca (0.610, 0.320, 0.000)
Ca (0.648, 0.648, 0.648)
Ca (0.680, 0.289, 0.680)
Ca (0.680, 0.680, 0.289)
Ca (0.711, 0.390, 0.390)

Values from the calculation:
Its space group is I-43m, No. 217. The energy of formation is 1.15 eV per formula unit.

(3)
Below is an optimized crystal structure of Li3Ca, with properties calculated at the GGA-PBEsol level.

Lattice parameters (Å, degrees): 5.262 5.262 5.262 60.00 60.00 60.00
Positions (direct):
Li (0.000, 0.000, 0.000)
Li (0.250, 0.250, 0.250)
Li (0.750, 0.750, 0.750)
Ca (0.500, 0.500, 0.500)

Values from the calculation:
Its space group is Fm-3m, No. 225. The energy of formation is 0.20 eV per formula unit.

(4)
Below is an optimized crystal structure of LiCa2, with properties calculated at the GGA-PBEsol level.

Lattice parameters (Å, degrees): 3.766 3.766 8.677 90.00 90.00 120.00
Positions (direct):
Li (0.000, 0.000, 0.000)
Ca (0.333, 0.667, 0.317)
Ca (0.667, 0.333, 0.683)

Values from the calculation:
Its space group is P-3m1, No. 164. The energy of formation is 0.23 eV per formula unit.

(5)
Below is an optimized crystal structure of LiCa2, with properties calculated at the GGA-PBEsol level.

Lattice parameters (Å, degrees): 6.662 6.662 8.893 110.43 110.43 33.76
Positions (direct):
Li (0.188, 0.188, 0.062)
Li (0.812, 0.812, 0.938)
Ca (0.165, 0.165, 0.607)
Ca (0.483, 0.483, 0.786)
Ca (0.517, 0.517, 0.214)
Ca (0.835, 0.835, 0.393)

Values from the calculation:
Its space group is C2/m, No. 12. The energy of formation is 0.05 eV per formula unit.

(6)
Below is an optimized crystal structure of LiCa2, with properties calculated at the GGA-PBEsol level.

Lattice parameters (Å, degrees): 9.009 9.009 5.906 90.00 90.00 154.58
Positions (direct):
Li (0.074, 0.926, 0.750)
Li (0.926, 0.074, 0.250)
Ca (0.272, 0.728, 0.250)
Ca (0.419, 0.581, 0.750)
Ca (0.581, 0.419, 0.250)
Ca (0.728, 0.272, 0.750)

Values from the calculation:
Its space group is Cmcm, No. 63. The energy of formation is 0.08 eV per formula unit.

(7)
Below is an optimized crystal structure of Li3Ca, with properties calculated at the GGA-PBEsol level.

Lattice parameters (Å, degrees): 6.305 10.190 6.448 90.00 90.00 90.00
Positions (direct):
Li (0.043, 0.250, 0.082)
Li (0.186, 0.513, 0.832)
Li (0.186, 0.987, 0.832)
Li (0.314, 0.013, 0.332)
Li (0.314, 0.487, 0.332)
Li (0.457, 0.750, 0.582)
Li (0.543, 0.250, 0.418)
Li (0.686, 0.513, 0.668)
Li (0.686, 0.987, 0.668)
Li (0.814, 0.013, 0.168)
Li (0.814, 0.487, 0.168)
Li (0.957, 0.750, 0.918)
Ca (0.024, 0.250, 0.570)
Ca (0.476, 0.750, 0.070)
Ca (0.524, 0.250, 0.930)
Ca (0.976, 0.750, 0.430)

Values from the calculation:
Its space group is Pnma, No. 62. The energy of formation is 0.19 eV per formula unit.

(8)
Below is an optimized crystal structure of Li24Ca5, with properties calculated at the GGA-PBEsol level.

Lattice parameters (Å, degrees): 9.657 9.657 9.657 109.47 109.47 109.47
Positions (direct):
Li (0.000, 0.192, 0.377)
Li (0.000, 0.377, 0.192)
Li (0.000, 0.394, 0.664)
Li (0.000, 0.664, 0.394)
Li (0.185, 0.808, 0.808)
Li (0.192, 0.000, 0.377)
Li (0.192, 0.377, 0.000)
Li (0.269, 0.606, 0.606)
Li (0.336, 0.336, 0.731)
Li (0.336, 0.731, 0.336)
Li (0.377, 0.000, 0.192)
Li (0.377, 0.192, 0.000)
Li (0.394, 0.000, 0.664)
Li (0.394, 0.664, 0.000)
Li (0.606, 0.269, 0.606)
Li (0.606, 0.606, 0.269)
Li (0.623, 0.623, 0.815)
Li (0.623, 0.815, 0.623)
Li (0.664, 0.000, 0.394)
Li (0.664, 0.394, 0.000)
Li (0.731, 0.336, 0.336)
Li (0.808, 0.185, 0.808)
Li (0.808, 0.808, 0.185)
Li (0.815, 0.623, 0.623)
Ca (0.000, 0.000, 0.000)
Ca (0.000, 0.000, 0.620)
Ca (0.000, 0.620, 0.000)
Ca (0.380, 0.380, 0.380)
Ca (0.620, 0.000, 0.000)

Values from the calculation:
Its space group is I-43m, No. 217. The energy of formation is 0.43 eV per formula unit.

(9)
Below is an optimized crystal structure of LiCaMg, with properties calculated at the GGA-PBEsol level.

Lattice parameters (Å, degrees): 5.201 5.201 3.582 90.00 90.00 120.00
Positions (direct):
Li (0.000, 0.000, 0.000)
Ca (0.667, 0.333, 0.502)
Mg (0.333, 0.667, 0.002)

Values from the calculation:
Its space group is P3m1, No. 156. The energy of formation is -0.01 eV per formula unit.

(10)
Below is an optimized crystal structure of LiCa3Mg, with properties calculated at the GGA-PBEsol level.

Lattice parameters (Å, degrees): 5.700 5.700 5.700 90.00 90.00 90.00
Positions (direct):
Li (0.000, 0.000, 0.000)
Ca (0.000, 0.000, 0.500)
Ca (0.000, 0.500, 0.000)
Ca (0.500, 0.000, 0.000)
Mg (0.500, 0.500, 0.500)

Values from the calculation:
Its space group is Pm-3m, No. 221. The energy of formation is 1.49 eV per formula unit.

(11)
Below is an optimized crystal structure of LiCaMg2, with properties calculated at the GGA-PBEsol level.

Lattice parameters (Å, degrees): 4.499 4.726 4.916 90.00 90.00 90.00
Positions (direct):
Li (0.000, 0.000, 0.000)
Ca (0.500, 0.500, 0.000)
Mg (0.000, 0.500, 0.500)
Mg (0.500, 0.000, 0.500)

Values from the calculation:
Its space group is Pmmm, No. 47. The energy of formation is -0.01 eV per formula unit.

(12)
Below is an optimized crystal structure of Li2Ca2Mg, with properties calculated at the GGA-PBEsol level.

Lattice parameters (Å, degrees): 7.867 7.867 4.618 90.00 90.00 90.00
Positions (direct):
Li (0.125, 0.375, 0.000)
Li (0.375, 0.875, 0.000)
Li (0.625, 0.125, 0.000)
Li (0.875, 0.625, 0.000)
Ca (0.180, 0.680, 0.500)
Ca (0.320, 0.180, 0.500)
Ca (0.680, 0.820, 0.500)
Ca (0.820, 0.320, 0.500)
Mg (0.000, 0.000, 0.000)
Mg (0.500, 0.500, 0.000)

Values from the calculation:
Its space group is P4/mbm, No. 127. The energy of formation is 0.06 eV per formula unit.